(1)
Crystalline AgRuRh4 at its relaxed geometry. Source: Alexandria, functional PBE.

```
data_AgRuRh4
_cell_length_a 7.218
_cell_length_b 7.218
_cell_length_c 7.218
_cell_angle_alpha 90.00
_cell_angle_beta 90.00
_cell_angle_gamma 90.00
_symmetry_space_group_name_H-M 'F -4 3 m'
_symmetry_Int_Tables_number 216
_symmetry_space_group_name_Hall 'F -4 2 3'
loop_
_atom_site_label
_atom_site_type_symbol
_atom_site_fract_x
_atom_site_fract_y
_atom_site_fract_z
_atom_site_occupancy
Ag1 Ag 0.000 0.000 0.000 1
Ru1 Ru 0.250 0.250 0.250 1
Rh1 Rh 0.125 0.125 0.625 1
```

The value obtained for the energy of formation from the pure elements is 486 meV per atom.

(2)
Crystalline AcSmAl at its relaxed geometry. Source: Alexandria, functional PBE.

```
data_AcSmAl
_cell_length_a 5.2504
_cell_length_b 5.2504
_cell_length_c 8.0416
_cell_angle_alpha 90.00
_cell_angle_beta 90.00
_cell_angle_gamma 120.00
_symmetry_space_group_name_H-M 'P -3 m 1'
_symmetry_Int_Tables_number 164
_symmetry_space_group_name_Hall '-P 3 2"'
loop_
_atom_site_label
_atom_site_type_symbol
_atom_site_fract_x
_atom_site_fract_y
_atom_site_fract_z
_atom_site_occupancy
Ac1 Ac 0.3333 0.6667 0.1249 1
Sm1 Sm 0.3333 0.6667 0.5968 1
Al1 Al 0.0000 0.0000 0.3224 1
```

The value obtained for the energy of formation from the pure elements is -117 meV per atom. As for the offset from the most stable computed form: 0.0308 eV per atom.

(3)
Crystalline In6Ga2Au at its relaxed geometry. Source: Alexandria, functional PBE.

```
data_In6Ga2Au
_cell_length_a 6.468
_cell_length_b 8.021
_cell_length_c 9.079
_cell_angle_alpha 90.00
_cell_angle_beta 103.36
_cell_angle_gamma 90.00
_symmetry_space_group_name_H-M 'P 1 21/c 1'
_symmetry_Int_Tables_number 14
loop_
_symmetry_equiv_pos_as_xyz
'x,y,z'
'-x,-y,-z'
'-x,y+1/2,-z+1/2'
'x,-y+1/2,z+1/2'
loop_
_atom_site_label
_atom_site_type_symbol
_atom_site_fract_x
_atom_site_fract_y
_atom_site_fract_z
_atom_site_occupancy
In1 In 0.116 0.062 0.273 1
In2 In 0.161 0.740 0.526 1
In3 In 0.367 0.160 0.038 1
Ga1 Ga 0.310 0.045 0.731 1
Au1 Au 0.500 0.000 0.500 1
```

The value obtained for the energy of formation from the pure elements is 6 meV per atom.

(4)
Crystalline CdBr3 at its relaxed geometry. Source: Alexandria, functional PBE.

```
data_CdBr3
_cell_length_a 3.9586
_cell_length_b 3.9586
_cell_length_c 32.8728
_cell_angle_alpha 90.00
_cell_angle_beta 90.00
_cell_angle_gamma 120.00
_symmetry_space_group_name_H-M 'R -3 m'
_symmetry_Int_Tables_number 166
_symmetry_space_group_name_Hall '-R 3 2"'
loop_
_atom_site_label
_atom_site_type_symbol
_atom_site_fract_x
_atom_site_fract_y
_atom_site_fract_z
_atom_site_occupancy
Cd1 Cd 0.0000 0.0000 0.0000 1
Br1 Br 0.0000 0.0000 0.3826 1
Br2 Br 0.0000 0.0000 0.5000 1
```

The formation energy (no corrections) comes out at -147 kJ/mol of formula units.

(5)
Crystalline Cs2CdGe2O6 at its relaxed geometry. Source: Alexandria, functional PBE.

```
data_Cs2CdGe2O6
_cell_length_a 6.1633
_cell_length_b 6.1633
_cell_length_c 19.8484
_cell_angle_alpha 90.00
_cell_angle_beta 90.00
_cell_angle_gamma 120.00
_symmetry_space_group_name_H-M 'R -3 m'
_symmetry_Int_Tables_number 166
_symmetry_space_group_name_Hall '-R 3 2"'
loop_
_atom_site_label
_atom_site_type_symbol
_atom_site_fract_x
_atom_site_fract_y
_atom_site_fract_z
_atom_site_occupancy
Cs1 Cs 0.0000 0.0000 0.2064 1
Cd1 Cd 0.0000 0.0000 0.0000 1
Ge1 Ge 0.0000 0.0000 0.4013 1
O1 O 0.0128 0.5064 0.2599 1
```

The formation energy (no corrections) comes out at -1513 kJ/mol of formula units.

(6)
Crystalline CaZr2C at its relaxed geometry. Source: Alexandria, functional PBE.

```
data_CaZr2C
_cell_length_a 3.3823
_cell_length_b 3.3823
_cell_length_c 26.7578
_cell_angle_alpha 90.00
_cell_angle_beta 90.00
_cell_angle_gamma 120.00
_symmetry_space_group_name_H-M 'R -3 m'
_symmetry_Int_Tables_number 166
_symmetry_space_group_name_Hall '-R 3 2"'
loop_
_atom_site_label
_atom_site_type_symbol
_atom_site_fract_x
_atom_site_fract_y
_atom_site_fract_z
_atom_site_occupancy
Ca1 Ca 0.0000 0.0000 0.0000 1
Zr1 Zr 0.0000 0.0000 0.1209 1
C1 C 0.0000 0.0000 0.5000 1
```

The value obtained for the energy of formation from the pure elements is -256 meV per atom.

(7)
Crystalline PrBeGe at its relaxed geometry. Source: Alexandria, functional PBE.

```
data_PrBeGe
_cell_length_a 4.0230
_cell_length_b 4.0230
_cell_length_c 4.3157
_cell_angle_alpha 90.00
_cell_angle_beta 90.00
_cell_angle_gamma 120.00
_symmetry_space_group_name_H-M 'P -6 m 2'
_symmetry_Int_Tables_number 187
_symmetry_space_group_name_Hall 'P -6 2'
loop_
_atom_site_label
_atom_site_type_symbol
_atom_site_fract_x
_atom_site_fract_y
_atom_site_fract_z
_atom_site_occupancy
Pr1 Pr 0.0000 0.0000 0.0000 1
Be1 Be 0.6667 0.3333 0.5000 1
Ge1 Ge 0.3333 0.6667 0.5000 1
```

The value obtained for the energy of formation from the pure elements is -622 meV per atom.

(8)
Crystalline NdSi3Tc5 at its relaxed geometry. Source: Alexandria, functional PBE.

```
data_NdSi3Tc5
_cell_length_a 4.111
_cell_length_b 12.756
_cell_length_c 11.568
_cell_angle_alpha 90.00
_cell_angle_beta 90.00
_cell_angle_gamma 90.00
_symmetry_space_group_name_H-M 'C m c m'
_symmetry_Int_Tables_number 63
_symmetry_space_group_name_Hall '-C 2c 2'
loop_
_atom_site_label
_atom_site_type_symbol
_atom_site_fract_x
_atom_site_fract_y
_atom_site_fract_z
_atom_site_occupancy
Nd1 Nd 0.000 0.169 0.250 1
Si1 Si 0.000 0.129 0.750 1
Si2 Si 0.000 0.383 0.562 1
Tc1 Tc 0.000 0.000 0.000 1
Tc2 Tc 0.000 0.195 0.546 1
Tc3 Tc 0.000 0.444 0.148 1
```

The formation energy (no corrections) comes out at -308 kJ/mol of formula units.

(9)
Crystalline YZnOs2 at its relaxed geometry. Source: Alexandria, functional PBE.

```
data_YZnOs2
_cell_length_a 3.163
_cell_length_b 4.472
_cell_length_c 4.785
_cell_angle_alpha 90.00
_cell_angle_beta 90.00
_cell_angle_gamma 90.00
_symmetry_space_group_name_H-M 'P m m m'
_symmetry_Int_Tables_number 47
loop_
_symmetry_equiv_pos_as_xyz
'x,y,z'
'-x,-y,-z'
'-x,-y,z'
'x,y,-z'
'x,-y,-z'
'-x,y,z'
'-x,y,-z'
'x,-y,z'
loop_
_atom_site_label
_atom_site_type_symbol
_atom_site_fract_x
_atom_site_fract_y
_atom_site_fract_z
_atom_site_occupancy
Y1 Y 0.000 0.000 0.000 1
Zn1 Zn 0.500 0.000 0.500 1
Os1 Os 0.000 0.500 0.500 1
Os2 Os 0.500 0.500 0.000 1
```

The value obtained for the energy of formation from the pure elements is 306 meV per atom.

(10)
Crystalline BeRe3 at its relaxed geometry. Source: Alexandria, functional PBE.

```
data_BeRe3
_cell_length_a 3.753
_cell_length_b 3.753
_cell_length_c 15.722
_cell_angle_alpha 90.00
_cell_angle_beta 90.00
_cell_angle_gamma 90.00
_symmetry_space_group_name_H-M 'I 4/m m m'
_symmetry_Int_Tables_number 139
_symmetry_space_group_name_Hall '-I 4 2'
loop_
_atom_site_label
_atom_site_type_symbol
_atom_site_fract_x
_atom_site_fract_y
_atom_site_fract_z
_atom_site_occupancy
Be1 Be 0.000 0.000 0.121 1
Re1 Re 0.000 0.000 0.375 1
Re2 Re 0.000 0.500 0.000 1
Re3 Re 0.000 0.500 0.250 1
```

The value obtained for the energy of formation from the pure elements is 248 meV per atom. As for the offset from the most stable computed form: 0.3106 eV per atom.

(11)
Crystalline Rb3Sm3PuSe8 at its relaxed geometry. Source: Alexandria, functional PBE.

```
data_Rb3Sm3PuSe8
_cell_length_a 14.804
_cell_length_b 8.552
_cell_length_c 9.524
_cell_angle_alpha 90.00
_cell_angle_beta 121.20
_cell_angle_gamma 90.00
_symmetry_space_group_name_H-M 'C 1 2/m 1'
_symmetry_Int_Tables_number 12
loop_
_symmetry_equiv_pos_as_xyz
'x,y,z'
'-x,-y,-z'
'-x,y,-z'
'x,-y,z'
'x+1/2,y+1/2,z'
'-x+1/2,-y+1/2,-z'
'-x+1/2,y+1/2,-z'
'x+1/2,-y+1/2,z'
loop_
_atom_site_label
_atom_site_type_symbol
_atom_site_fract_x
_atom_site_fract_y
_atom_site_fract_z
_atom_site_occupancy
Rb1 Rb 0.000 0.000 0.000 1
Rb2 Rb 0.250 0.250 0.000 1
Sm1 Sm 0.000 0.500 0.500 1
Sm2 Sm 0.250 0.250 0.500 1
Pu1 Pu 0.000 0.000 0.500 1
Se1 Se 0.017 0.243 0.308 1
Se2 Se 0.226 0.000 0.691 1
Se3 Se 0.233 0.500 0.698 1
```

The formation energy (no corrections) comes out at -2368 kJ/mol of formula units.

(12)
Crystalline TlPtAu4 at its relaxed geometry. Source: Alexandria, functional PBE.

```
data_TlPtAu4
_cell_length_a 7.840
_cell_length_b 7.840
_cell_length_c 7.840
_cell_angle_alpha 90.00
_cell_angle_beta 90.00
_cell_angle_gamma 90.00
_symmetry_space_group_name_H-M 'F -4 3 m'
_symmetry_Int_Tables_number 216
_symmetry_space_group_name_Hall 'F -4 2 3'
loop_
_atom_site_label
_atom_site_type_symbol
_atom_site_fract_x
_atom_site_fract_y
_atom_site_fract_z
_atom_site_occupancy
Tl1 Tl 0.000 0.000 0.000 1
Pt1 Pt 0.250 0.250 0.250 1
Au1 Au 0.125 0.125 0.625 1
```

The value obtained for the energy of formation from the pure elements is 208 meV per atom.